[1]
A geometry-optimized RbAsSe structure. Source: Alexandria via LeMat-Bulk, functional PBE.

Structure (CIF):
```
data_RbAsSe
_symmetry_space_group_name_H-M 'P -1'
_symmetry_Int_Tables_number 2
_cell_length_a 4.994
_cell_length_b 5.088
_cell_length_c 9.199
_cell_angle_alpha 76.58
_cell_angle_beta 85.08
_cell_angle_gamma 89.09
loop_
_symmetry_equiv_pos_as_xyz
'x,y,z'
'-x,-y,-z'
loop_
_atom_site_label
_atom_site_fract_x
_atom_site_fract_y
_atom_site_fract_z
_atom_site_occupancy
Rb1 0.208 0.115 0.203 1
As1 0.308 0.370 0.550 1
Se1 0.288 0.381 0.806 1
```

Computed properties:
density of states at the Fermi level	0.027	states/eV/atom
polymorph energy (0 for the lowest one)	22	meV per atom
formation energy without anion corrections	-181	kJ/mol of formula units
mass density	3.51	g/cm³

[2]
A geometry-optimized RbAsSe2 structure. Source: Alexandria via LeMat-Bulk, functional PBE.

Structure (CIF):
```
data_RbAsSe2
_symmetry_space_group_name_H-M 'P 1 m 1'
_symmetry_Int_Tables_number 6
_cell_length_a 5.649
_cell_length_b 3.904
_cell_length_c 7.042
_cell_angle_alpha 90.00
_cell_angle_beta 100.50
_cell_angle_gamma 90.00
loop_
_symmetry_equiv_pos_as_xyz
'x,y,z'
'x,-y,z'
loop_
_atom_site_label
_atom_site_fract_x
_atom_site_fract_y
_atom_site_fract_z
_atom_site_occupancy
Rb1 0.000 0.000 0.000 1
As1 0.390 0.500 0.605 1
Se1 0.091 0.000 0.518 1
Se2 0.481 0.500 0.939 1
```

Computed properties:
density of states at the Fermi level	0.071	states/eV/atom
formation energy without anion corrections	-210	kJ/mol of formula units
mass density	3.46	g/cm³

[3]
A geometry-optimized RbAsSe2 structure. Source: Alexandria via LeMat-Bulk, functional PBE.

Structure (CIF):
```
data_RbAsSe2
_symmetry_space_group_name_H-M 'R 3 m'
_symmetry_Int_Tables_number 160
_symmetry_space_group_name_Hall 'R 3 -2"'
_cell_length_a 4.0523
_cell_length_b 4.0523
_cell_length_c 23.9642
_cell_angle_alpha 90.00
_cell_angle_beta 90.00
_cell_angle_gamma 120.00
loop_
_atom_site_label
_atom_site_fract_x
_atom_site_fract_y
_atom_site_fract_z
_atom_site_occupancy
Rb1 0.0000 0.0000 0.0000 1
As1 0.0000 0.0000 0.1674 1
Se1 0.0000 0.0000 0.5621 1
Se2 0.0000 0.0000 0.7724 1
```

Computed properties:
formation energy without anion corrections	-198	kJ/mol of formula units
mass density	4.65	g/cm³

[4]
A geometry-optimized RbAs2Se2 structure. Source: Alexandria via LeMat-Bulk, functional PBE.

Structure (CIF):
```
data_RbAs2Se2
_symmetry_space_group_name_H-M 'P 4/m b m'
_symmetry_Int_Tables_number 127
_symmetry_space_group_name_Hall '-P 4 2ab'
_cell_length_a 9.032
_cell_length_b 9.032
_cell_length_c 3.622
_cell_angle_alpha 90.00
_cell_angle_beta 90.00
_cell_angle_gamma 90.00
loop_
_atom_site_label
_atom_site_fract_x
_atom_site_fract_y
_atom_site_fract_z
_atom_site_occupancy
Rb1 0.000 0.000 0.000 1
As1 0.136 0.364 0.000 1
Se1 0.233 0.733 0.500 1
```

Computed properties:
density of states at the Fermi level	0.215	states/eV/atom
polymorph energy (0 for the lowest one)	0	meV per atom
formation energy without anion corrections	-100	kJ/mol of formula units
mass density	4.42	g/cm³

[5]
A geometry-optimized Rb2AsSe5 structure. Source: Alexandria via LeMat-Bulk, functional PBE.

Structure (CIF):
```
data_Rb2AsSe5
_symmetry_space_group_name_H-M 'P 1'
_symmetry_Int_Tables_number 1
_cell_length_a 6.587
_cell_length_b 6.802
_cell_length_c 7.411
_cell_angle_alpha 90.42
_cell_angle_beta 104.61
_cell_angle_gamma 118.69
loop_
_symmetry_equiv_pos_as_xyz
'x,y,z'
loop_
_atom_site_label
_atom_site_fract_x
_atom_site_fract_y
_atom_site_fract_z
_atom_site_occupancy
Rb1 0.000 0.000 0.000 1
Rb2 0.172 0.591 0.446 1
As1 0.590 0.323 0.734 1
Se1 0.170 0.094 0.569 1
Se2 0.389 0.769 0.997 1
Se3 0.547 0.554 0.170 1
Se4 0.609 0.199 0.058 1
Se5 0.713 0.113 0.575 1
```

Computed properties:
density of states at the Fermi level	0.146	states/eV/atom
formation energy without anion corrections	-391	kJ/mol of formula units
mass density	3.82	g/cm³

[6]
A geometry-optimized RbSiAsSe2 structure. Source: Alexandria via LeMat-Bulk, functional PBE.

Structure (CIF):
```
data_RbSiAsSe2
_symmetry_space_group_name_H-M 'P 4/m m m'
_symmetry_Int_Tables_number 123
_symmetry_space_group_name_Hall '-P 4 2'
_cell_length_a 5.182
_cell_length_b 5.182
_cell_length_c 4.818
_cell_angle_alpha 90.00
_cell_angle_beta 90.00
_cell_angle_gamma 90.00
loop_
_atom_site_label
_atom_site_fract_x
_atom_site_fract_y
_atom_site_fract_z
_atom_site_occupancy
Rb1 0.000 0.000 0.000 1
Si1 0.500 0.500 0.500 1
As1 0.500 0.500 0.000 1
Se1 0.000 0.500 0.500 1
```

Computed properties:
density of states at the Fermi level	0.937	states/eV/atom
polymorph energy (0 for the lowest one)	0	meV per atom
formation energy without anion corrections	-29	kJ/mol of formula units
mass density	4.45	g/cm³

[7]
A geometry-optimized RbSiAsSe2 structure. Source: Alexandria via LeMat-Bulk, functional PBE.

Structure (CIF):
```
data_RbSiAsSe2
_symmetry_space_group_name_H-M 'P 4/m m m'
_symmetry_Int_Tables_number 123
_symmetry_space_group_name_Hall '-P 4 2'
_cell_length_a 4.874
_cell_length_b 4.874
_cell_length_c 7.239
_cell_angle_alpha 90.00
_cell_angle_beta 90.00
_cell_angle_gamma 90.00
loop_
_atom_site_label
_atom_site_fract_x
_atom_site_fract_y
_atom_site_fract_z
_atom_site_occupancy
Rb1 0.000 0.000 0.000 1
Si1 0.000 0.000 0.500 1
As1 0.500 0.500 0.000 1
Se1 0.000 0.500 0.500 1
```

Computed properties:
density of states at the Fermi level	0.684	states/eV/atom
polymorph energy (0 for the lowest one)	499	meV per atom
formation energy without anion corrections	212	kJ/mol of formula units
mass density	3.35	g/cm³

[8]
A geometry-optimized Rb2SiAsSe4 structure. Source: Alexandria via LeMat-Bulk, functional PBE.

Structure (CIF):
```
data_Rb2SiAsSe4
_symmetry_space_group_name_H-M 'I m m a'
_symmetry_Int_Tables_number 74
_symmetry_space_group_name_Hall '-I 2b 2'
_cell_length_a 8.489
_cell_length_b 8.592
_cell_length_c 12.093
_cell_angle_alpha 90.00
_cell_angle_beta 90.00
_cell_angle_gamma 90.00
loop_
_atom_site_label
_atom_site_fract_x
_atom_site_fract_y
_atom_site_fract_z
_atom_site_occupancy
Rb1 0.000 0.000 0.000 1
Rb2 0.250 0.250 0.250 1
Si1 0.250 0.250 0.750 1
As1 0.000 0.000 0.500 1
Se1 0.000 0.054 0.735 1
Se2 0.212 0.250 0.525 1
```

Computed properties:
density of states at the Fermi level	0.282	states/eV/atom
formation energy without anion corrections	-295	kJ/mol of formula units
mass density	4.44	g/cm³

[9]
A geometry-optimized RbSiAsSe2 structure. Source: Alexandria via LeMat-Bulk, functional PBE.

Structure (CIF):
```
data_RbSiAsSe2
_symmetry_space_group_name_H-M 'P 4/m m m'
_symmetry_Int_Tables_number 123
_symmetry_space_group_name_Hall '-P 4 2'
_cell_length_a 5.779
_cell_length_b 5.779
_cell_length_c 5.578
_cell_angle_alpha 90.00
_cell_angle_beta 90.00
_cell_angle_gamma 90.00
loop_
_atom_site_label
_atom_site_fract_x
_atom_site_fract_y
_atom_site_fract_z
_atom_site_occupancy
Rb1 0.000 0.000 0.000 1
Si1 0.500 0.500 0.500 1
As1 0.000 0.000 0.500 1
Se1 0.000 0.500 0.000 1
```

Computed properties:
density of states at the Fermi level	1.231	states/eV/atom
polymorph energy (0 for the lowest one)	1674	meV per atom
formation energy without anion corrections	779	kJ/mol of formula units
mass density	3.09	g/cm³

[10]
A geometry-optimized Rb2SmAsSe4 structure. Source: Alexandria via LeMat-Bulk, functional PBE.

Structure (CIF):
```
data_Rb2SmAsSe4
_symmetry_space_group_name_H-M 'I m m a'
_symmetry_Int_Tables_number 74
_symmetry_space_group_name_Hall '-I 2b 2'
_cell_length_a 8.754
_cell_length_b 8.889
_cell_length_c 12.481
_cell_angle_alpha 90.00
_cell_angle_beta 90.00
_cell_angle_gamma 90.00
loop_
_atom_site_label
_atom_site_fract_x
_atom_site_fract_y
_atom_site_fract_z
_atom_site_occupancy
Rb1 0.000 0.000 0.000 1
Rb2 0.250 0.250 0.250 1
Sm1 0.000 0.000 0.500 1
As1 0.250 0.250 0.750 1
Se1 0.000 0.045 0.736 1
Se2 0.222 0.250 0.524 1
```

Computed properties:
formation energy without anion corrections	-806	kJ/mol of formula units
mass density	4.87	g/cm³

[11]
A geometry-optimized Rb2SnAsSe4 structure. Source: Alexandria via LeMat-Bulk, functional PBE.

Structure (CIF):
```
data_Rb2SnAsSe4
_symmetry_space_group_name_H-M 'I m m a'
_symmetry_Int_Tables_number 74
_symmetry_space_group_name_Hall '-I 2b 2'
_cell_length_a 8.570
_cell_length_b 8.994
_cell_length_c 12.405
_cell_angle_alpha 90.00
_cell_angle_beta 90.00
_cell_angle_gamma 90.00
loop_
_atom_site_label
_atom_site_fract_x
_atom_site_fract_y
_atom_site_fract_z
_atom_site_occupancy
Rb1 0.000 0.000 0.000 1
Rb2 0.250 0.250 0.250 1
Sn1 0.000 0.000 0.500 1
As1 0.250 0.250 0.750 1
Se1 0.000 0.046 0.736 1
Se2 0.217 0.250 0.522 1
```

Computed properties:
density of states at the Fermi level	0.461	states/eV/atom
formation energy without anion corrections	-412	kJ/mol of formula units
mass density	4.73	g/cm³

[12]
A geometry-optimized RbSnAsSe2 structure. Source: Alexandria via LeMat-Bulk, functional PBE.

Structure (CIF):
```
data_RbSnAsSe2
_symmetry_space_group_name_H-M 'P 4/m m m'
_symmetry_Int_Tables_number 123
_symmetry_space_group_name_Hall '-P 4 2'
_cell_length_a 5.522
_cell_length_b 5.522
_cell_length_c 5.328
_cell_angle_alpha 90.00
_cell_angle_beta 90.00
_cell_angle_gamma 90.00
loop_
_atom_site_label
_atom_site_fract_x
_atom_site_fract_y
_atom_site_fract_z
_atom_site_occupancy
Rb1 0.000 0.000 0.000 1
Sn1 0.500 0.500 0.500 1
As1 0.500 0.500 0.000 1
Se1 0.000 0.500 0.500 1
```

Computed properties:
density of states at the Fermi level	0.647	states/eV/atom
polymorph energy (0 for the lowest one)	0	meV per atom
formation energy without anion corrections	-43	kJ/mol of formula units
mass density	4.47	g/cm³